1.
Density functional theory data (PBE) for a relaxed structure of TlCrSe.

Values from the calculation:
The value obtained for the raw formation energy is 15 kJ per mole of atoms. The value obtained for the total energy is -15.02 eV/cell.

a = 4.7486 Å, b = 4.7486 Å, c = 4.7486 Å
α = 60.00°, β = 60.00°, γ = 60.00°
With the nearest neighbours (Å) after each atom.
Atoms (fractional coordinates):
Se 0.0000 0.0000 0.0000  4 Cr 2.91
Tl 0.5000 0.5000 0.5000  4 Cr 2.91
Cr 0.2500 0.2500 0.2500  4 Tl 2.91, 4 Se 2.91



2.
Density functional theory data (PBE) for a relaxed structure of TlCrSe2.

Values from the calculation:
The value obtained for the raw formation energy is -21 kJ per mole of atoms. The value obtained for the total energy is -19.84 eV/cell.

a = 3.5545 Å, b = 3.5545 Å, c = 8.7667 Å
α = 90.00°, β = 90.00°, γ = 90.00°
With the nearest neighbours (Å) after each atom.
Atoms (fractional coordinates):
Tl 0.0000 0.0000 0.4329  4 Se 3.09
Se 0.0000 0.0000 0.8825  4 Cr 2.60
Se 0.5000 0.5000 0.2273  1 Cr 2.37
Cr 0.5000 0.5000 0.9573  5 Se 2.37-2.60



3.
Density functional theory data (PBE) for a relaxed structure of Tl2Cr3Se6.

Values from the calculation:
The value obtained for the raw formation energy is -49 kJ per mole of atoms. The value obtained for the total energy is -60.06 eV/cell.

a = 6.4199 Å, b = 6.4447 Å, c = 7.8912 Å
α = 81.99°, β = 73.76°, γ = 60.13°
With the nearest neighbours (Å) after each atom.
Atoms (fractional coordinates):
Se 0.3952 0.6680 0.8184  3 Cr 2.52-2.55
Se 0.6048 0.3320 0.1816  3 Cr 2.52-2.55
Se 0.9369 0.6680 0.1816  3 Cr 2.52-2.55
Se 0.7263 0.0000 0.8216  3 Cr 2.54-2.57
Se 0.0631 0.3320 0.8184  3 Cr 2.52-2.55
Se 0.2737 0.0000 0.1784  3 Cr 2.54-2.57
Tl 0.8359 0.3282 0.5000  6 Se 3.22-3.25
Tl 0.1641 0.6718 0.5000  6 Se 3.22-3.25
Cr 0.3288 0.3424 0.0000  6 Se 2.52-2.57
Cr 0.0000 0.0000 0.0000  6 Se 2.54-2.55
Cr 0.6712 0.6576 0.0000  6 Se 2.52-2.57



4.
Density functional theory data (PBE) for a relaxed structure of TlCrSe.

Values from the calculation:
The value obtained for the raw formation energy is -14 kJ per mole of atoms. The value obtained for the total energy is -31.85 eV/cell.

a = 3.5216 Å, b = 3.5216 Å, c = 11.6179 Å
α = 90.00°, β = 90.00°, γ = 90.00°
With the nearest neighbours (Å) after each atom.
Atoms (fractional coordinates):
Se 0.0000 0.5000 0.3555  4 Cr 2.43
Se 0.5000 0.0000 0.6445  4 Cr 2.43
Tl 0.0000 0.5000 0.8965  8 Tl 3.46-3.52, 4 Se 3.84
Tl 0.5000 0.0000 0.1035  8 Tl 3.46-3.52, 4 Se 3.84
Cr 0.0000 0.0000 0.5000  4 Se 2.43, 4 Cr 2.49
Cr 0.5000 0.5000 0.5000  4 Se 2.43, 4 Cr 2.49



5.
Density functional theory data (PBE) for a relaxed structure of TlCrSe.

Values from the calculation:
The value obtained for the raw formation energy is -9 kJ per mole of atoms. The value obtained for the total energy is -31.54 eV/cell.

a = 3.6004 Å, b = 3.6004 Å, c = 12.9068 Å
α = 81.98°, β = 81.98°, γ = 60.00°
With the nearest neighbours (Å) after each atom.
Atoms (fractional coordinates):
Cr 0.6522 0.6522 0.0434  3 Cr 2.35, 4 Se 2.43-2.46
Cr 0.3478 0.3478 0.9566  3 Cr 2.35, 4 Se 2.43-2.46
Tl 0.1281 0.1281 0.6158  9 Tl 3.60-3.61, 3 Se 3.66
Tl 0.8719 0.8719 0.3842  9 Tl 3.60-3.61, 3 Se 3.66
Se 0.7158 0.7158 0.8527  4 Cr 2.43-2.46
Se 0.2842 0.2842 0.1473  4 Cr 2.43-2.46



6.
Density functional theory data (PBE) for a relaxed structure of TlCr2Se.

Values from the calculation:
The value obtained for the raw formation energy is 41 kJ per mole of atoms. The value obtained for the total energy is -23.39 eV/cell.

a = 4.7649 Å, b = 3.3212 Å, c = 5.3759 Å
α = 71.33°, β = 90.00°, γ = 90.00°
With the nearest neighbours (Å) after each atom.
Atoms (fractional coordinates):
Se 0.0000 0.3575 0.4061  4 Cr 2.45-2.51
Cr 0.5000 0.4208 0.2929  2 Se 2.45, 1 Tl 2.70
Cr 0.0000 0.0481 0.0373  2 Se 2.51
Tl 0.5000 0.6736 0.7637  3 Cr 2.70-2.92



7.
Density functional theory data (PBE) for a relaxed structure of TlCrSe.

Values from the calculation:
The value obtained for the raw formation energy is -5 kJ per mole of atoms. The value obtained for the total energy is -15.63 eV/cell.

a = 6.7911 Å, b = 6.7912 Å, c = 3.4521 Å
α = 75.27°, β = 75.27°, γ = 29.45°
With the nearest neighbours (Å) after each atom.
Atoms (fractional coordinates):
Tl 0.6474 0.6475 0.3526  1 Se 3.19, 4 Cr 3.44, 4 Tl 3.45
Se 0.3960 0.3960 0.6040  4 Cr 2.56
Cr 0.9565 0.9565 0.0435  4 Se 2.56



8.
Density functional theory data (PBE) for a relaxed structure of TlCr2Se.

Values from the calculation:
The value obtained for the raw formation energy is 29 kJ per mole of atoms. The value obtained for the total energy is -23.88 eV/cell.

a = 8.8328 Å, b = 8.8328 Å, c = 8.8328 Å
α = 21.39°, β = 21.39°, γ = 21.39°
With the nearest neighbours (Å) after each atom.
Atoms (fractional coordinates):
Se 0.5222 0.5222 0.5222  3 Cr 2.44
Cr 0.9865 0.9865 0.9865  3 Cr 2.65
Cr 0.2484 0.2484 0.2484  3 Se 2.44, 3 Cr 2.65
Tl 0.7430 0.7430 0.7430  3 Cr 3.00, 6 Tl 3.28



9.
Density functional theory data (PBE) for a relaxed structure of TlCr2Se.

Values from the calculation:
The value obtained for the raw formation energy is 36 kJ per mole of atoms. The value obtained for the total energy is -23.61 eV/cell.

a = 3.2715 Å, b = 3.2717 Å, c = 8.0438 Å
α = 66.43°, β = 90.00°, γ = 90.00°
With the nearest neighbours (Å) after each atom.
Atoms (fractional coordinates):
Cr 0.0000 0.9566 0.0403  4 Se 2.78, 1 Cr 3.09
Cr 0.0000 0.5434 0.4597  4 Se 2.78, 1 Cr 3.09
Se 0.5000 0.2500 0.2500  8 Cr 2.78
Tl 0.5000 0.7500 0.7500  8 Cr 3.14-3.17, 4 Tl 3.27



10.
Density functional theory data (PBE) for a relaxed structure of TlCr2Se.

Values from the calculation:
The value obtained for the raw formation energy is 52 kJ per mole of atoms. The value obtained for the total energy is -22.92 eV/cell.

a = 4.8393 Å, b = 4.8393 Å, c = 4.8393 Å
α = 60.00°, β = 60.00°, γ = 60.00°
With the nearest neighbours (Å) after each atom.
Atoms (fractional coordinates):
Se 0.0000 0.0000 0.0000  8 Cr 2.96
Tl 0.5000 0.5000 0.5000  8 Cr 2.96
Cr 0.7500 0.7500 0.7500  4 Tl 2.96, 4 Se 2.96
Cr 0.2500 0.2500 0.2500  4 Tl 2.96, 4 Se 2.96



11.
Density functional theory data (PBE) for a relaxed structure of TlCrSe2.

Values from the calculation:
The value obtained for the raw formation energy is 15 kJ per mole of atoms. The value obtained for the total energy is -18.34 eV/cell.

a = 3.5060 Å, b = 5.0213 Å, c = 5.0213 Å
α = 90.00°, β = 90.00°, γ = 90.00°
With the nearest neighbours (Å) after each atom.
Atoms (fractional coordinates):
Se 0.0000 0.5000 0.5000  4 Tl 3.06, 4 Cr 3.06
Se 0.0000 0.0000 0.0000  4 Cr 3.06, 4 Tl 3.06
Cr 0.5000 0.0000 0.5000  8 Se 3.06
Tl 0.5000 0.5000 0.0000  8 Se 3.06



12.
Density functional theory data (PBE) for a relaxed structure of TlCrSe2.

Values from the calculation:
The value obtained for the raw formation energy is 20 kJ per mole of atoms. The value obtained for the total energy is -18.14 eV/cell.

a = 8.3599 Å, b = 8.3599 Å, c = 8.3599 Å
α = 29.99°, β = 29.99°, γ = 29.99°
With the nearest neighbours (Å) after each atom.
Atoms (fractional coordinates):
Se 0.9009 0.9009 0.9009  1 Cr 2.37
Se 0.0991 0.0991 0.0991  1 Cr 2.37
Tl 0.5000 0.5000 0.5000  6 Se 2.98
Cr 0.0000 0.0000 0.0000  2 Se 2.37



Look up the raw formation energy of the first one. 15 kJ per mole of atoms



The highest raw formation energy belongs to which entry? number 10



The lowest raw formation energy belongs to which entry? Tl2Cr3Se6